Record 1
The following is a PBE calculation of an optimized crystal structure of CsNa2LiBr4, from the Alexandria database.

The structure belongs to space group Cmcm (No. 63); the cell edges are 4.4264, 15.2911 and 14.9934 Å and the angles 90.00°, 90.00° and 90.00°. The asymmetric unit holds Cs at (0.0000, 0.1104, 0.2500), Na at (0.0000, 0.3712, 0.0475), Li at (0.0000, 0.1623, 0.7500), Br at (0.0000, 0.0000, 0.0000), Br at (0.0000, 0.2543, 0.6127) and Br at (0.0000, 0.4227, 0.2500).

The calculation puts the total DFT energy (no corrections) at -3.11 eV/atom. The volume is 31.71 Å³/atom. The calculation puts the density of states at the Fermi level at 0.000 states/eV per cell. The energy relative to the elements, uncorrected comes out at -1237 kJ/mol of formula units. The value obtained for the total magnetization is 0.0 μB/f.u.

Record 2
The following is a PBE calculation of an optimized crystal structure of CsNaLi2Br4, from the Alexandria database.

The structure belongs to space group I-42m (No. 121); the cell edges are 7.2153, 7.2153 and 10.3934 Å and the angles 90.00°, 90.00° and 90.00°. The asymmetric unit holds Cs at (0.0000, 0.0000, 0.0000), Na at (0.0000, 0.0000, 0.5000), Li at (0.0000, 0.5000, 0.2500) and Br at (0.2090, 0.2090, 0.3193).

The calculation puts the total DFT energy (no corrections) at -3.11 eV/atom. The volume is 33.82 Å³/atom. The calculation puts the density of states at the Fermi level at 0.000 states/eV per cell. The energy relative to the elements, uncorrected comes out at -1179 kJ/mol of formula units. The value obtained for the total magnetization is 0.0 μB/f.u.

Record 3
The following is a PBE calculation of an optimized crystal structure of CsNaLiBr3, from the Alexandria database.

The structure belongs to space group C2/m (No. 12); the cell edges are 20.9013, 4.5294 and 8.7126 Å and the angles 90.00°, 101.50° and 90.00°. The asymmetric unit holds Cs at (0.1411, 0.0000, 0.4448), Na at (0.1685, 0.0000, 0.9523), Li at (0.0206, 0.5000, 0.8436), Br at (0.0382, 0.0000, 0.7259), Br at (0.0978, 0.5000, 0.1099) and Br at (0.2198, 0.5000, 0.7721).

The calculation puts the total DFT energy (no corrections) at -3.12 eV/atom. The volume is 33.68 Å³/atom. The calculation puts the density of states at the Fermi level at 0.000 states/eV per cell. The energy relative to the elements, uncorrected comes out at -929 kJ/mol of formula units. The value obtained for the total magnetization is 0.0 μB/f.u.

Record 4
The following is a PBE calculation of an optimized crystal structure of Cs2NaLiBr6, from the Alexandria database.

The structure belongs to space group Fm-3m (No. 225); the cell edges are 11.1798, 11.1798 and 11.1798 Å and the angles 90.00°, 90.00° and 90.00°. The asymmetric unit holds Cs at (0.2500, 0.2500, 0.2500), Na at (0.0000, 0.0000, 0.0000), Li at (0.0000, 0.0000, 0.5000) and Br at (0.0000, 0.0000, 0.2598).

The calculation puts the total DFT energy (no corrections) at -2.69 eV/atom. The volume is 34.93 Å³/atom. The calculation puts the density of states at the Fermi level at 58.217 states/eV per cell. The energy relative to the elements, uncorrected comes out at -1147 kJ/mol of formula units. The value obtained for the total magnetization is 2.0 μB/f.u.

Record 5
The following is a PBE calculation of an optimized crystal structure of Cs2NaLiBr4, from the Alexandria database.

The structure belongs to space group C2/c (No. 15); the cell edges are 13.1772, 13.1101 and 9.3541 Å and the angles 90.00°, 134.55° and 90.00°. The asymmetric unit holds Cs at (0.0000, 0.0000, 0.0000), Cs at (0.2500, 0.2500, 0.0000), Na at (0.2500, 0.2500, 0.5000), Li at (0.0000, 0.5000, 0.0000), Br at (0.0006, 0.2756, 0.4691) and Br at (0.2098, 0.4841, 0.4649).

The calculation puts the total DFT energy (no corrections) at -3.03 eV/atom. The volume is 35.99 Å³/atom. The calculation puts the density of states at the Fermi level at 0.000 states/eV per cell. The energy relative to the elements, uncorrected comes out at -1217 kJ/mol of formula units. The value obtained for the total magnetization is 0.0 μB/f.u.

Record 6
The following is a PBE calculation of an optimized crystal structure of Cs2LiNbBr6, from the Alexandria database.

The structure belongs to space group R-3m (No. 166, hexagonal axes); the cell edges are 7.7933, 7.7933 and 38.6181 Å and the angles 90.00°, 90.00° and 120.00°. The asymmetric unit holds Cs at (0.0000, 0.0000, 0.1245), Cs at (0.0000, 0.0000, 0.2931), Li at (0.0000, 0.0000, 0.4160), Nb at (0.0000, 0.0000, 0.0000), Nb at (0.0000, 0.0000, 0.5000), Br at (0.0103, 0.5052, 0.7066) and Br at (0.0155, 0.5078, 0.1258).

The calculation puts the total DFT energy (no corrections) at -3.73 eV/atom. The volume is 33.85 Å³/atom. The calculation puts the density of states at the Fermi level at 53.191 states/eV per cell. The energy relative to the elements, uncorrected comes out at -1311 kJ/mol of formula units. The value obtained for the total magnetization is 2.0 μB/f.u.

Record 7
The following is a PBE calculation of an optimized crystal structure of Cs2LiNdBr6, from the Alexandria database.

The structure belongs to space group R-3m (No. 166, hexagonal axes); the cell edges are 8.0316, 8.0316 and 40.2454 Å and the angles 90.00°, 90.00° and 120.00°. The asymmetric unit holds Cs at (0.0000, 0.0000, 0.1273), Cs at (0.0000, 0.0000, 0.2902), Li at (0.0000, 0.0000, 0.0000), Li at (0.0000, 0.0000, 0.5000), Nd at (0.0000, 0.0000, 0.4134), Br at (0.0089, 0.5045, 0.1252) and Br at (0.0093, 0.5047, 0.7066).

The calculation puts the total DFT energy (no corrections) at -3.65 eV/atom. The volume is 37.47 Å³/atom. The calculation puts the density of states at the Fermi level at 0.000 states/eV per cell. The energy relative to the elements, uncorrected comes out at -1747 kJ/mol of formula units. The value obtained for the total magnetization is 0.0 μB/f.u.

Record 8
The following is a PBE calculation of an optimized crystal structure of Cs3Li2NdBr9, from the Alexandria database.

The structure belongs to space group P-3m1 (No. 164); the cell edges are 7.8970, 7.8970 and 9.8532 Å and the angles 90.00°, 90.00° and 120.00°. The asymmetric unit holds Cs at (0.0000, 0.0000, 0.0000), Cs at (0.3333, 0.6667, 0.6773), Li at (0.3333, 0.6667, 0.1452), Nd at (0.0000, 0.0000, 0.5000), Br at (0.0000, 0.5000, 0.0000) and Br at (0.1710, 0.3421, 0.3290).

The calculation puts the total DFT energy (no corrections) at -3.35 eV/atom. The volume is 35.48 Å³/atom. The calculation puts the density of states at the Fermi level at 17.018 states/eV per cell. The energy relative to the elements, uncorrected comes out at -2318 kJ/mol of formula units. The value obtained for the total magnetization is 0.8 μB/f.u.